Entry 1:
{"formula": "Zr2Zn2O5", "functional": "GGA-PBE", "state": "relaxed", "lattice": [[3.8715, 0.0000, 0.0000], [0.0000, 3.8715, 0.0000], [0.0000, 0.0000, 8.1420]], "species": ["Zr", "Zr", "Zn", "Zn", "O", "O", "O", "O", "O"], "frac_coords": [[0.0000, 0.0000, 0.2461], [0.0000, 0.0000, 0.7539], [0.5000, 0.5000, 0.0000], [0.5000, 0.5000, 0.5000], [0.0000, 0.0000, 0.0000], [0.0000, 0.5000, 0.3369], [0.0000, 0.5000, 0.6631], [0.5000, 0.0000, 0.3369], [0.5000, 0.0000, 0.6631]], "de_polymorph_ev_per_atom": 0.000, "spacegroup": "P4/mmm, No. 123"}

***

Entry 2:
{"formula": "ZrO2", "functional": "GGA-PBE", "state": "relaxed", "lattice": [[3.4714, 0.0000, 0.0000], [0.0000, 5.7118, 0.0000], [0.0000, 0.0000, 4.0071]], "species": ["Zr", "Zr", "O", "O", "O", "O"], "frac_coords": [[0.0000, 0.0000, 0.0000], [0.5000, 0.5000, 0.3818], [0.0000, 0.2621, 0.3400], [0.0000, 0.7379, 0.3400], [0.5000, 0.0000, 0.7706], [0.5000, 0.5000, 0.8714]], "spacegroup": "Pmm2, No. 25", "dft_energy_ev_per_atom": -9.19}

***

Entry 3:
{"formula": "ZrO2", "functional": "GGA-PBE", "state": "relaxed", "lattice": [[1.5757, 0.9097, 4.6750], [-1.5757, 0.9097, 4.6750], [0.0000, -1.8195, 4.6750]], "species": ["Zr", "O", "O"], "frac_coords": [[0.0000, 0.0000, 0.0000], [0.2496, 0.2496, 0.2496], [0.4158, 0.4158, 0.4158]], "spacegroup": "R3m, No. 160", "dft_energy_ev_per_atom": -8.74}

***

Entry 4:
{"formula": "ZrO2", "functional": "GGA-PBE", "state": "relaxed", "lattice": [[3.6517, 0.0000, 0.0000], [-1.8258, 3.1625, 0.0000], [0.0000, 0.0000, 5.1001]], "species": ["Zr", "Zr", "O", "O", "O", "O"], "frac_coords": [[0.3333, 0.6667, 0.2500], [0.6667, 0.3333, 0.7500], [0.0000, 0.0000, 0.0000], [0.0000, 0.0000, 0.5000], [0.3333, 0.6667, 0.7500], [0.6667, 0.3333, 0.2500]], "spacegroup": "P6_3/mmc, No. 194", "dft_energy_ev_per_atom": -8.88}

***

Entry 5:
{"formula": "Zr2O", "functional": "GGA-PBE", "state": "relaxed", "lattice": [[5.1769, 0.0000, 0.0000], [0.0000, 5.7518, 0.0000], [0.0000, 0.0000, 3.2187]], "species": ["Zr", "Zr", "Zr", "Zr", "O", "O"], "frac_coords": [[0.2398, 0.1611, 0.0000], [0.2602, 0.6611, 0.5000], [0.7398, 0.3389, 0.5000], [0.7602, 0.8389, 0.0000], [0.0000, 0.5000, 0.0000], [0.5000, 0.0000, 0.5000]], "spacegroup": "Pnnm, No. 58", "dft_energy_ev_per_atom": -9.12}

***

Entry 6:
{"formula": "Zr2O", "functional": "GGA-PBE", "state": "relaxed", "lattice": [[5.6368, 0.0000, 0.0000], [-2.8184, 4.8816, 0.0000], [0.0000, 0.0000, 5.2309]], "species": ["Zr", "Zr", "Zr", "Zr", "Zr", "Zr", "O", "O", "O"], "frac_coords": [[0.0000, 0.3330, 0.2531], [0.0000, 0.6670, 0.7469], [0.3330, 0.0000, 0.2531], [0.3330, 0.3330, 0.7469], [0.6670, 0.0000, 0.7469], [0.6670, 0.6670, 0.2531], [0.0000, 0.0000, 0.5000], [0.3333, 0.6667, 0.0000], [0.6667, 0.3333, 0.0000]], "spacegroup": "P-31m, No. 162", "dft_energy_ev_per_atom": -9.14}

***

Entry 7:
{"formula": "ZrO2", "functional": "GGA-PBE", "state": "relaxed", "lattice": [[5.5766, 0.0000, 0.0000], [0.0000, 3.3591, 0.0000], [0.0000, 0.0000, 6.5482]], "species": ["Zr", "Zr", "Zr", "Zr", "O", "O", "O", "O", "O", "O", "O", "O"], "frac_coords": [[0.2473, 0.2500, 0.1107], [0.2527, 0.7500, 0.6107], [0.7473, 0.2500, 0.3893], [0.7527, 0.7500, 0.8893], [0.0235, 0.7500, 0.3388], [0.1402, 0.7500, 0.9248], [0.3598, 0.2500, 0.4248], [0.4765, 0.2500, 0.8388], [0.5235, 0.7500, 0.1611], [0.6402, 0.7500, 0.5752], [0.8598, 0.2500, 0.0752], [0.9765, 0.2500, 0.6612]], "spacegroup": "Pnma, No. 62", "dft_energy_ev_per_atom": -9.40}

***

Entry 8:
{"formula": "ZrO2", "functional": "GGA-PBE", "state": "relaxed", "lattice": [[4.5599, 0.0000, 0.0000], [0.0000, 4.5599, 0.0000], [0.0000, 0.0000, 4.5599]], "species": ["Zr", "Zr", "O", "O", "O", "O"], "frac_coords": [[0.2500, 0.2500, 0.2500], [0.7500, 0.7500, 0.7500], [0.0000, 0.0000, 0.0000], [0.0000, 0.5000, 0.5000], [0.5000, 0.0000, 0.5000], [0.5000, 0.5000, 0.0000]], "spacegroup": "Pn-3m, No. 224", "dft_energy_ev_per_atom": -9.16}

***

Entry 9:
{"formula": "Zr2O", "functional": "GGA-PBE", "state": "relaxed", "lattice": [[0.0000, 3.8629, 3.8629], [3.8629, 0.0000, 3.8629], [3.8629, 3.8629, 0.0000]], "species": ["Zr", "Zr", "Zr", "Zr", "O", "O"], "frac_coords": [[0.0000, 0.0000, 0.0000], [0.0000, 0.0000, 0.5000], [0.0000, 0.5000, 0.0000], [0.5000, 0.0000, 0.0000], [0.3750, 0.3750, 0.3750], [0.6250, 0.6250, 0.6250]], "spacegroup": "Fd-3m, No. 227", "dft_energy_ev_per_atom": -6.52}

***

Entry 10:
{"formula": "ZrO2", "functional": "GGA-PBE", "state": "relaxed", "lattice": [[3.3469, 0.0000, 0.0000], [0.0000, 5.5953, 0.0000], [0.0000, 0.0000, 6.5607]], "species": ["Zr", "Zr", "Zr", "Zr", "O", "O", "O", "O", "O", "O", "O", "O"], "frac_coords": [[0.0000, 0.0027, 0.0000], [0.0000, 0.5036, 0.7234], [0.5000, 0.4964, 0.2234], [0.5000, 0.9973, 0.5000], [0.0000, 0.2749, 0.4498], [0.0000, 0.3895, 0.0366], [0.0000, 0.7733, 0.2720], [0.0000, 0.8911, 0.6861], [0.5000, 0.1089, 0.1861], [0.5000, 0.2267, 0.7720], [0.5000, 0.6105, 0.5366], [0.5000, 0.7251, 0.9498]], "spacegroup": "Pmn2_1, No. 31", "dft_energy_ev_per_atom": -9.40}

***

Entry 11:
{"formula": "ZrO2", "functional": "GGA-PBE", "state": "relaxed", "lattice": [[5.2100, 0.0000, 0.0000], [0.0000, 5.2100, 0.0000], [0.0000, 0.0000, 5.2100]], "species": ["Zr", "Zr", "Zr", "Zr", "O", "O", "O", "O", "O", "O", "O", "O"], "frac_coords": [[0.0000, 0.0000, 0.0000], [0.0000, 0.5000, 0.5000], [0.5000, 0.0000, 0.5000], [0.5000, 0.5000, 0.0000], [0.1687, 0.6687, 0.8313], [0.1687, 0.8313, 0.3313], [0.3313, 0.1687, 0.8313], [0.3313, 0.3313, 0.3313], [0.6687, 0.6687, 0.6687], [0.6687, 0.8313, 0.1687], [0.8313, 0.1687, 0.6687], [0.8313, 0.3313, 0.1687]], "spacegroup": "Pa-3, No. 205", "dft_energy_ev_per_atom": -9.34}

***

Entry 12:
{"formula": "ZrO2", "functional": "GGA-PBE", "state": "relaxed", "lattice": [[5.6403, 0.0000, 0.0000], [-2.8201, 4.8846, 0.0000], [0.0000, 0.0000, 3.2894]], "species": ["Zr", "Zr", "Zr", "O", "O", "O", "O", "O", "O"], "frac_coords": [[0.0000, 0.0000, 0.0000], [0.3333, 0.6667, 0.5000], [0.6667, 0.3333, 0.5000], [0.0000, 0.2599, 0.5000], [0.0000, 0.5939, 0.0000], [0.2599, 0.0000, 0.5000], [0.4061, 0.4061, 0.0000], [0.5939, 0.0000, 0.0000], [0.7401, 0.7401, 0.5000]], "spacegroup": "P-62m, No. 189", "dft_energy_ev_per_atom": -9.36}

***

Entry 13:
{"formula": "ZrO2", "functional": "GGA-PBE", "state": "relaxed", "lattice": [[5.1174, 0.0000, 0.0000], [0.0000, 10.1319, 0.0000], [0.0000, 0.0000, 5.2943]], "species": ["Zr", "Zr", "Zr", "Zr", "Zr", "Zr", "Zr", "Zr", "O", "O", "O", "O", "O", "O", "O", "O", "O", "O", "O", "O", "O", "O", "O", "O"], "frac_coords": [[0.2472, 0.1152, 0.0350], [0.2472, 0.3848, 0.5350], [0.2528, 0.6152, 0.0350], [0.2528, 0.8848, 0.5350], [0.7472, 0.1152, 0.4650], [0.7472, 0.3848, 0.9650], [0.7528, 0.6152, 0.4650], [0.7528, 0.8848, 0.9650], [0.0030, 0.0230, 0.7389], [0.0030, 0.4770, 0.2389], [0.1271, 0.7100, 0.3750], [0.1271, 0.7900, 0.8750], [0.3729, 0.2100, 0.3750], [0.3729, 0.2900, 0.8750], [0.4970, 0.5230, 0.7389], [0.4970, 0.9770, 0.2389], [0.5030, 0.0230, 0.7611], [0.5030, 0.4770, 0.2611], [0.6271, 0.7100, 0.1250], [0.6271, 0.7900, 0.6250], [0.8729, 0.2100, 0.1250], [0.8729, 0.2900, 0.6250], [0.9970, 0.5230, 0.7611], [0.9970, 0.9770, 0.2611]], "spacegroup": "Pbca, No. 61", "dft_energy_ev_per_atom": -9.48}

***

Entry 14:
{"formula": "ZrO2", "functional": "GGA-PBE", "state": "relaxed", "lattice": [[5.2825, 0.0000, 0.0000], [0.0000, 5.0658, 0.0000], [0.0000, 0.0000, 5.0785]], "species": ["Zr", "Zr", "Zr", "Zr", "O", "O", "O", "O", "O", "O", "O", "O"], "frac_coords": [[0.0323, 0.2312, 0.0000], [0.4677, 0.2312, 0.5000], [0.5323, 0.7688, 0.0000], [0.9677, 0.7688, 0.5000], [0.1246, 0.4208, 0.6238], [0.2389, 0.9563, 0.2481], [0.2611, 0.9563, 0.7481], [0.3754, 0.4208, 0.1238], [0.6246, 0.5792, 0.6238], [0.7389, 0.0437, 0.2481], [0.7611, 0.0437, 0.7481], [0.8754, 0.5792, 0.1238]], "spacegroup": "Pca2_1, No. 29", "dft_energy_ev_per_atom": -9.47}

***

Entry 15:
{"formula": "ZrO2", "functional": "GGA-PBE", "state": "relaxed", "lattice": [[3.1704, 0.0000, 0.0000], [-1.5852, 2.7457, 0.0000], [0.0000, 0.0000, 8.8896]], "species": ["Zr", "Zr", "O", "O", "O", "O"], "frac_coords": [[0.3333, 0.6667, 0.2500], [0.6667, 0.3333, 0.7500], [0.3333, 0.6667, 0.6197], [0.3333, 0.6667, 0.8803], [0.6667, 0.3333, 0.1197], [0.6667, 0.3333, 0.3803]], "spacegroup": "P6_3/mmc, No. 194", "dft_energy_ev_per_atom": -8.75}

***

Entry 16:
{"formula": "ZrO2", "functional": "GGA-PBE", "state": "relaxed", "lattice": [[3.4285, 0.0000, 0.0000], [0.0000, 3.4285, 0.0000], [0.0000, 0.0000, 5.4015]], "species": ["Zr", "Zr", "O", "O", "O", "O"], "frac_coords": [[0.2500, 0.2500, 0.2375], [0.7500, 0.7500, 0.7625], [0.2500, 0.2500, 0.6234], [0.2500, 0.7500, 0.0000], [0.7500, 0.2500, 0.0000], [0.7500, 0.7500, 0.3766]], "spacegroup": "P4/nmm, No. 129", "dft_energy_ev_per_atom": -9.30}

***

Entry 17:
{"formula": "ZrO2", "functional": "GGA-PBE", "state": "relaxed", "lattice": [[0.0000, 4.5482, 4.5482], [4.5482, 0.0000, 4.5482], [4.5482, 4.5482, 0.0000]], "species": ["Zr", "Zr", "Zr", "Zr", "O", "O", "O", "O", "O", "O", "O", "O"], "frac_coords": [[0.0000, 0.0000, 0.0000], [0.0000, 0.0000, 0.5000], [0.0000, 0.5000, 0.0000], [0.5000, 0.0000, 0.0000], [0.1967, 0.7678, 0.7678], [0.2322, 0.2322, 0.2322], [0.2322, 0.2322, 0.8033], [0.2322, 0.8033, 0.2322], [0.7678, 0.1967, 0.7678], [0.7678, 0.7678, 0.1967], [0.7678, 0.7678, 0.7678], [0.8033, 0.2322, 0.2322]], "spacegroup": "Fd-3m, No. 227", "dft_energy_ev_per_atom": -9.21}

***

Entry 18:
{"formula": "ZrO2", "functional": "GGA-PBE", "state": "relaxed", "lattice": [[4.8969, 0.0000, 0.0000], [0.0000, 4.8969, 0.0000], [0.0000, 0.0000, 3.2671]], "species": ["Zr", "Zr", "O", "O", "O", "O"], "frac_coords": [[0.0000, 0.0000, 0.0000], [0.5000, 0.5000, 0.5000], [0.1943, 0.1943, 0.5000], [0.3057, 0.6943, 0.0000], [0.6943, 0.3057, 0.0000], [0.8057, 0.8057, 0.5000]], "spacegroup": "P4_2/mnm, No. 136", "dft_energy_ev_per_atom": -9.45}

***

Entry 19:
{"formula": "ZrO2", "functional": "GGA-PBE", "state": "relaxed", "lattice": [[0.0000, 3.1803, 3.1803], [3.1803, 0.0000, 3.1803], [3.1803, 3.1803, 0.0000]], "species": ["Zr", "Zr", "O", "O", "O", "O"], "frac_coords": [[0.1250, 0.1250, 0.1250], [0.8750, 0.8750, 0.8750], [0.0000, 0.5000, 0.5000], [0.5000, 0.0000, 0.5000], [0.5000, 0.5000, 0.0000], [0.5000, 0.5000, 0.5000]], "spacegroup": "Fd-3m, No. 227", "dft_energy_ev_per_atom": -6.26}

***

Entry 20:
{"formula": "P4Os3", "functional": "GGA-PBE", "state": "relaxed", "lattice": [[6.4475, 0.0000, 0.0000], [0.0000, 6.4475, 0.0000], [0.0000, 0.0000, 6.4475]], "species": ["P", "P", "P", "P", "P", "P", "P", "P", "Os", "Os", "Os", "Os", "Os", "Os"], "frac_coords": [[0.2500, 0.2500, 0.2500], [0.2500, 0.2500, 0.7500], [0.2500, 0.7500, 0.2500], [0.2500, 0.7500, 0.7500], [0.7500, 0.2500, 0.2500], [0.7500, 0.2500, 0.7500], [0.7500, 0.7500, 0.2500], [0.7500, 0.7500, 0.7500], [0.0000, 0.2500, 0.5000], [0.0000, 0.7500, 0.5000], [0.2500, 0.5000, 0.0000], [0.5000, 0.0000, 0.2500], [0.5000, 0.0000, 0.7500], [0.7500, 0.5000, 0.0000]], "spacegroup": "Pm-3n, No. 223", "dft_energy_ev_per_atom": -7.48}

***

Entry 21:
{"formula": "POs2", "functional": "GGA-PBE", "state": "relaxed", "lattice": [[0.0000, 5.0670, 5.0670], [5.0670, 0.0000, 5.0670], [5.0670, 5.0670, 0.0000]], "species": ["P", "P", "Os", "Os", "Os", "Os"], "frac_coords": [[0.1250, 0.1250, 0.1250], [0.8750, 0.8750, 0.8750], [0.0000, 0.0000, 0.0000], [0.0000, 0.0000, 0.5000], [0.0000, 0.5000, 0.0000], [0.5000, 0.0000, 0.0000]], "spacegroup": "Fd-3m, No. 227", "dft_energy_ev_per_atom": -6.35}

***

Entry 22:
{"formula": "POs2", "functional": "GGA-PBE", "state": "relaxed", "lattice": [[0.0000, 3.6544, 3.6544], [3.6544, 0.0000, 3.6544], [3.6544, 3.6544, 0.0000]], "species": ["P", "P", "Os", "Os", "Os", "Os"], "frac_coords": [[0.1250, 0.1250, 0.1250], [0.8750, 0.8750, 0.8750], [0.0000, 0.5000, 0.5000], [0.5000, 0.0000, 0.5000], [0.5000, 0.5000, 0.0000], [0.5000, 0.5000, 0.5000]], "spacegroup": "Fd-3m, No. 227", "dft_energy_ev_per_atom": -7.99}

***

Entry 23:
{"formula": "SrP2OsPd", "functional": "GGA-PBE", "state": "relaxed", "lattice": [[-1.9852, 1.9852, 6.0326], [1.9852, -1.9852, 6.0326], [1.9852, 1.9852, -6.0326]], "species": ["Sr", "P", "P", "Os", "Pd"], "frac_coords": [[0.0000, 0.0000, 0.0000], [0.3610, 0.3610, 0.0000], [0.6390, 0.6390, 0.0000], [0.2500, 0.7500, 0.5000], [0.7500, 0.2500, 0.5000]], "spacegroup": "I-4m2, No. 119", "dft_energy_ev_per_atom": -6.42}